A relaxed structure of KIn2NiBi, computed with GGA-PBE.

It has space group P4/mmm (No. 123), with a = 5.062 Å, b = 5.062 Å, c = 5.522 Å, α = 90.00°, β = 90.00° and γ = 90.00°. The distinct sites, in fractional coordinates, are K at (0.000, 0.000, 0.000), In at (0.000, 0.500, 0.500), Ni at (0.500, 0.500, 0.500) and Bi at (0.500, 0.500, 0.000).

The calculation puts the mass density at 6.3 g/cm³. The calculation puts the total energy at -0.2424 Ry/atom. Its total moment is 0.0 μB/f.u. For the calculated formation energy, the calculation gives -0.25 eV/f.u. The crystal system is tetragonal.